# RuAuC2 | Alexandria | PBE | relaxed
# * ΔH_f (0 K): 1062 meV per atom
# * offset from the most stable computed form: 0.00 eV/f.u.
# * total magnetization: 0.00 Bohr magnetons per cell
data_RuAuC2
_chemical_formula_sum 'Ru4 Au4 C8'
_cell_length_a 4.8184
_cell_length_b 4.8184
_cell_length_c 9.2748
_cell_angle_alpha 90.00
_cell_angle_beta 90.00
_cell_angle_gamma 90.00
_symmetry_space_group_name_H-M 'I -4 2 d'
_symmetry_Int_Tables_number 122
_symmetry_space_group_name_Hall 'I -4 2bw'
loop_
_atom_site_label
_atom_site_type_symbol
_atom_site_fract_x
_atom_site_fract_y
_atom_site_fract_z
Ru1 Ru 0.0000 0.0000 0.0000
Au1 Au 0.0000 0.0000 0.5000
C1 C 0.2063 0.2500 0.1250



# Ru2Au2C | Alexandria | PBE | relaxed
# * ΔH_f (0 K): 490 meV per atom
# * offset from the most stable computed form: 0.00 eV/f.u.
# * total magnetization: 0.00 Bohr magnetons per cell
data_Ru2Au2C
_chemical_formula_sum 'Ru4 Au4 C2'
_cell_length_a 5.4799
_cell_length_b 5.4799
_cell_length_c 4.9191
_cell_angle_alpha 90.00
_cell_angle_beta 90.00
_cell_angle_gamma 90.00
_symmetry_space_group_name_H-M 'P 4/m b m'
_symmetry_Int_Tables_number 127
_symmetry_space_group_name_Hall '-P 4 2ab'
loop_
_atom_site_label
_atom_site_type_symbol
_atom_site_fract_x
_atom_site_fract_y
_atom_site_fract_z
Ru1 Ru 0.1653 0.3347 0.0000
Au1 Au 0.1754 0.6754 0.5000
C1 C 0.0000 0.0000 0.0000



# Ru2Au2C | Alexandria | PBE | relaxed
# * ΔH_f (0 K): 1834 meV per atom
# * offset from the most stable computed form: 6.72 eV/f.u.
# * total magnetization: 0.00 Bohr magnetons per cell
data_Ru2Au2C
_chemical_formula_sum 'Ru4 Au4 C2'
_cell_length_a 3.6260
_cell_length_b 3.6260
_cell_length_c 13.0535
_cell_angle_alpha 90.00
_cell_angle_beta 90.00
_cell_angle_gamma 90.00
_symmetry_space_group_name_H-M 'I 4/m m m'
_symmetry_Int_Tables_number 139
_symmetry_space_group_name_Hall '-I 4 2'
loop_
_atom_site_label
_atom_site_type_symbol
_atom_site_fract_x
_atom_site_fract_y
_atom_site_fract_z
Ru1 Ru 0.0000 0.0000 0.0840
Au1 Au 0.0000 0.5000 0.2500
C1 C 0.0000 0.0000 0.5000



# RuAuC2 | Alexandria | PBE | relaxed
# * ΔH_f (0 K): 2150 meV per atom
# * offset from the most stable computed form: 4.35 eV/f.u.
# * total magnetization: 0.01 Bohr magnetons per cell
data_RuAuC2
_chemical_formula_sum 'Ru4 Au4 C8'
_cell_length_a 5.6077
_cell_length_b 5.6077
_cell_length_c 5.6077
_cell_angle_alpha 90.00
_cell_angle_beta 90.00
_cell_angle_gamma 90.00
_symmetry_space_group_name_H-M 'F m -3 m'
_symmetry_Int_Tables_number 225
_symmetry_space_group_name_Hall '-F 4 2 3'
loop_
_atom_site_label
_atom_site_type_symbol
_atom_site_fract_x
_atom_site_fract_y
_atom_site_fract_z
Ru1 Ru 0.0000 0.0000 0.0000
Au1 Au 0.0000 0.0000 0.5000
C1 C 0.2500 0.2500 0.2500



Calculated total energy (eV per cell), listed in the same order as above: -107.010; -63.759; -50.321; -89.610